Computed, not measured: BiTeRuN2 at its PBEsol-relaxed geometry at the SCAN level of DFT.

a b c (Å): 3.8980 3.8980 6.7766
angles (deg): 90.00 90.00 90.00
Last column: nearest neighbours and their distance in Å.
Space group P4/mmm (No. 123)
One atom of each set of equivalent atoms:
Bi (0.0000, 0.0000, 0.0000) [1 per cell]  4 Ru 2.76
Te (0.0000, 0.0000, 0.5000) [1 per cell]  4 N 1.95
Ru (0.5000, 0.5000, 0.0000) [1 per cell]  4 Bi 2.76
N (0.0000, 0.5000, 0.5000) [2 per cell]  2 Te 1.95

Computed properties:
As for the volume: 20.59 Å³/atom. As for the energy relative to the elements, uncorrected: 1.85 eV per atom.

=====

Computed, not measured: ReAgPt at its PBEsol-relaxed geometry at the SCAN level of DFT.

a b c (Å): 2.7278 2.7278 12.2714
angles (deg): 90.00 90.00 90.00
Last column: nearest neighbours and their distance in Å.
Space group I4mm (No. 107)
One atom of each set of equivalent atoms:
Re (0.0000, 0.0000, 0.0000) [2 per cell]  4 Pt 2.66, 4 Re 2.73, 4 Ag 2.87
Ag (0.0000, 0.0000, 0.3268) [2 per cell]  4 Ag 2.73, 4 Re 2.87, 4 Pt 2.90
Pt (0.0000, 0.0000, 0.6498) [2 per cell]  4 Re 2.66, 4 Pt 2.73, 4 Ag 2.90

Computed properties:
As for the formation energy: 0.22 eV/atom. As for the volume: 15.22 Å³/atom. For the energy above the most stable polymorph in this dataset, the calculation gives 0 kJ/mol of formula units.

=====

Computed, not measured: Y2FePt at its PBEsol-relaxed geometry at the SCAN level of DFT.

a b c (Å): 3.6899 3.6899 21.9225
angles (deg): 90.00 90.00 120.00
Last column: nearest neighbours and their distance in Å.
Space group R-3m (No. 166, hexagonal axes)
One atom of each set of equivalent atoms:
Y (0.0000, 0.0000, 0.2489) [6 per cell]  3 Fe 2.79, 3 Pt 2.82
Fe (0.0000, 0.0000, 0.5000) [3 per cell]  6 Y 2.79
Pt (0.0000, 0.0000, 0.0000) [3 per cell]  6 Y 2.82

Computed properties:
As for the formation energy: -0.31 eV/atom. As for the volume: 21.54 Å³/atom.

=====

Computed, not measured: NiSb4Ir at its PBEsol-relaxed geometry at the SCAN level of DFT.

a b c (Å): 8.2481 8.2481 8.2481
angles (deg): 90.00 90.00 90.00
Last column: nearest neighbours and their distance in Å.
Space group F-43m (No. 216)
One atom of each set of equivalent atoms:
Ni (0.0000, 0.0000, 0.0000) [4 per cell]  12 Sb 3.42, 4 Ir 3.57
Sb (0.1250, 0.1250, 0.3750) [16 per cell]  6 Sb 2.92
Ir (0.2500, 0.2500, 0.7500) [4 per cell]  12 Sb 3.42, 4 Ni 3.57

Computed properties:
As for the volume: 23.38 Å³/atom. As for the energy relative to the elements, uncorrected: 1.38 eV per atom.

=====

Computed, not measured: NiPHCl2 at its PBEsol-relaxed geometry at the SCAN level of DFT.

a b c (Å): 4.7236 4.7236 4.1605
angles (deg): 90.00 90.00 90.00
Last column: nearest neighbours and their distance in Å.
Space group P4/mmm (No. 123)
One atom of each set of equivalent atoms:
Ni (0.0000, 0.0000, 0.0000) [1 per cell]  2 P 2.08
P (0.0000, 0.0000, 0.5000) [1 per cell]  2 Ni 2.08
H (0.5000, 0.5000, 0.5000) [1 per cell]  8 Cl 3.15, 4 P 3.34
Cl (0.0000, 0.5000, 0.0000) [2 per cell]  2 Ni 2.36

Computed properties:
As for the volume: 18.57 Å³/atom. For the energy above the most stable polymorph in this dataset, the calculation gives 0 kJ/mol of formula units.

=====

Computed, not measured: Li2ZnNi at its PBEsol-relaxed geometry at the SCAN level of DFT.

a b c (Å): 8.5068 2.5768 4.6533
angles (deg): 90.00 99.12 90.00
Last column: nearest neighbours and their distance in Å.
Space group Cm (No. 8)
One atom of each set of equivalent atoms:
Li (0.0000, 0.0000, 0.0000) [2 per cell]  5 Li 2.46-2.67, 4 Ni 2.60-2.72, 3 Zn 2.68-2.69
Li (0.2369, 0.0000, 0.7588) [2 per cell]  5 Li 2.46-2.67, 2 Zn 2.55, 3 Ni 2.61-2.70
Zn (0.2529, 0.5000, 0.2925) [2 per cell]  3 Ni 2.45-2.51, 5 Li 2.55-2.69, 2 Zn 2.58
Ni (0.4923, 0.0000, 0.4820) [2 per cell]  3 Zn 2.45-2.51, 2 Ni 2.58, 7 Li 2.60-2.72

Computed properties:
As for the formation energy: -0.08 eV/atom. As for the volume: 12.59 Å³/atom.

=====

Computed, not measured: LiSi2Hg at its PBEsol-relaxed geometry at the SCAN level of DFT.

a b c (Å): 7.6132 7.6132 5.0379
angles (deg): 90.00 90.00 90.00
Last column: nearest neighbours and their distance in Å.
Space group I-42d (No. 122)
One atom of each set of equivalent atoms:
Li (0.0000, 0.0000, 0.0000) [4 per cell]  2 Hg 2.52
Si (0.2250, 0.2500, 0.6250) [8 per cell]  2 Si 2.55, 2 Hg 2.64
Hg (0.0000, 0.0000, 0.5000) [4 per cell]  2 Li 2.52, 4 Si 2.64

Computed properties:
As for the volume: 18.25 Å³/atom. As for the energy relative to the elements, uncorrected: 0.36 eV per atom.

=====

Computed, not measured: Fe2PbCS at its PBEsol-relaxed geometry at the SCAN level of DFT.

a b c (Å): 4.3548 4.3548 3.7118
angles (deg): 90.00 90.00 90.00
Last column: nearest neighbours and their distance in Å.
Space group P4/mmm (No. 123)
One atom of each set of equivalent atoms:
Fe (0.0000, 0.5000, 0.0000) [2 per cell]  2 S 2.18
Pb (0.0000, 0.0000, 0.5000) [1 per cell]  8 Fe 2.86, 4 C 3.08
C (0.5000, 0.5000, 0.5000) [1 per cell]  2 S 1.86
S (0.5000, 0.5000, 0.0000) [1 per cell]  2 C 1.86

Computed properties:
As for the volume: 14.08 Å³/atom. As for the energy relative to the elements, uncorrected: 1.25 eV per atom.

=====

Please write out number 4 again, unchanged.
Computed, not measured: NiSb4Ir at its PBEsol-relaxed geometry at the SCAN level of DFT.

a b c (Å): 8.2481 8.2481 8.2481
angles (deg): 90.00 90.00 90.00
Last column: nearest neighbours and their distance in Å.
Space group F-43m (No. 216)
One atom of each set of equivalent atoms:
Ni (0.0000, 0.0000, 0.0000) [4 per cell]  12 Sb 3.42, 4 Ir 3.57
Sb (0.1250, 0.1250, 0.3750) [16 per cell]  6 Sb 2.92
Ir (0.2500, 0.2500, 0.7500) [4 per cell]  12 Sb 3.42, 4 Ni 3.57

Computed properties:
As for the volume: 23.38 Å³/atom. As for the energy relative to the elements, uncorrected: 1.38 eV per atom.